(A)
Material: YThNi2
Method: DFT, PBE
State: relaxed

```
data_YThNi2
_symmetry_space_group_name_H-M 'P 1 m 1'
_symmetry_Int_Tables_number 6
_cell_length_a 3.6794
_cell_length_b 4.3448
_cell_length_c 5.5506
_cell_angle_alpha 90.00
_cell_angle_beta 109.11
_cell_angle_gamma 90.00
loop_
_symmetry_equiv_pos_as_xyz
'x,y,z'
'x,-y,z'
loop_
_atom_site_label
_atom_site_type_symbol
_atom_site_fract_x
_atom_site_fract_y
_atom_site_fract_z
_atom_site_occupancy
Y1 Y 0.0000 0.0000 0.0000 1
Th1 Th 0.2706 0.5000 0.5446 1
Ni1 Ni 0.5609 0.5000 0.1245 1
Ni2 Ni 0.7189 0.0000 0.4396 1
```

Properties
Density of states at the Fermi level in states/eV/atom: 1.051
V in Å³/f.u.: 83.8



(B)
Material: YThNi2
Method: DFT, PBE
State: relaxed

```
data_YThNi2
_symmetry_space_group_name_H-M 'R -3 m'
_symmetry_Int_Tables_number 166
_symmetry_space_group_name_Hall '-R 3 2"'
_cell_length_a 4.7857
_cell_length_b 4.7857
_cell_length_c 12.5750
_cell_angle_alpha 90.00
_cell_angle_beta 90.00
_cell_angle_gamma 120.00
loop_
_atom_site_label
_atom_site_type_symbol
_atom_site_fract_x
_atom_site_fract_y
_atom_site_fract_z
_atom_site_occupancy
Y1 Y 0.0000 0.0000 0.0000 1
Th1 Th 0.0000 0.0000 0.5000 1
Ni1 Ni 0.0000 0.0000 0.2743 1
```

Properties
Density of states at the Fermi level in states/eV/atom: 0.541
V in Å³/f.u.: 83.1



Most stable to least stable, the ends of the list are (A) and (B).



(A)
Material: Y2ThNi6
Method: DFT, PBE
State: relaxed

```
data_Y2ThNi6
_symmetry_space_group_name_H-M 'P 6/m m m'
_symmetry_Int_Tables_number 191
_symmetry_space_group_name_Hall '-P 6 2'
_cell_length_a 7.0316
_cell_length_b 7.0316
_cell_length_c 3.7160
_cell_angle_alpha 90.00
_cell_angle_beta 90.00
_cell_angle_gamma 120.00
loop_
_atom_site_label
_atom_site_type_symbol
_atom_site_fract_x
_atom_site_fract_y
_atom_site_fract_z
_atom_site_occupancy
Y1 Y 0.3333 0.6667 0.0000 1
Th1 Th 0.0000 0.0000 0.0000 1
Ni1 Ni 0.0000 0.3334 0.5000 1
```

Properties
Density of states at the Fermi level in states/eV/atom: 1.365
V in Å³/f.u.: 159.1



(B)
Material: Y2ThNi6
Method: DFT, PBE
State: relaxed

```
data_Y2ThNi6
_symmetry_space_group_name_H-M 'I m m m'
_symmetry_Int_Tables_number 71
_symmetry_space_group_name_Hall '-I 2 2'
_cell_length_a 3.6165
_cell_length_b 6.9191
_cell_length_c 13.0204
_cell_angle_alpha 90.00
_cell_angle_beta 90.00
_cell_angle_gamma 90.00
loop_
_atom_site_label
_atom_site_type_symbol
_atom_site_fract_x
_atom_site_fract_y
_atom_site_fract_z
_atom_site_occupancy
Y1 Y 0.0000 0.0000 0.1462 1
Th1 Th 0.0000 0.5000 0.0000 1
Ni1 Ni 0.0000 0.1766 0.3365 1
Ni2 Ni 0.0000 0.3260 0.5000 1
```

Properties
Density of states at the Fermi level in states/eV/atom: 0.925
V in Å³/f.u.: 162.9



Most stable to least stable, the ends of the list are (A) and (B).